The following is a DFT calculation (GGA-PBE) of a geometry-optimized Tb4Sm2DyTh structure.

It has space group P2/m (No. 10), with a = 5.059 Å, b = 5.077 Å, c = 10.081 Å, α = 90.00°, β = 90.01° and γ = 90.00°. The inequivalent atoms are Tb at (0.001, 0.000, 0.247), Tb at (0.499, 0.500, 0.753), Sm at (0.000, 0.500, 0.000), Sm at (0.500, 0.000, 0.500), Dy at (0.000, 0.500, 0.500) and Th at (0.500, 0.000, 0.000).

As for the crystal system: monoclinic. As for the formation energy: 0.030 eV/atom.